Entry 1:
## Be2CrCdW (PBE-GGA)

Data for crystalline Be2CrCdW at its relaxed geometry.

**Crystal system**: tetragonal
**DOS at the Fermi energy**: 4.3 states/eV/cell
**Formation energy**: 1.713 eV/atom
**Density**: 7.949 g cm⁻³

Cell lengths 4.030, 4.030, 4.710 Å; angles 90.00, 90.00, 90.00 degrees
Fractional coordinates of all 5 atoms:
Be 0.000 0.500 0.000
Be 0.500 0.000 0.000
Cr 0.000 0.000 0.000
Cd 0.000 0.000 0.500
W 0.500 0.500 0.500


Entry 2:
## Zn3I2Cl4 (PBE-GGA)

Data for crystalline Zn3I2Cl4 at its relaxed geometry.

**Crystal system**: triclinic
**Raw formation energy**: -923 meV/atom
**DOS at the Fermi energy**: 0.0 states/eV/cell
**Density**: 3.233 g cm⁻³

Cell lengths 3.932, 3.932, 19.792 Å; angles 94.29, 94.84, 90.01 degrees
Fractional coordinates of all 9 atoms:
Zn 0.000 0.000 0.000
Zn 0.143 0.713 0.313
Zn 0.783 0.394 0.650
I 0.246 0.361 0.562
I 0.821 0.927 0.737
Cl 0.115 0.189 0.249
Cl 0.527 0.024 0.064
Cl 0.670 0.737 0.377
Cl 0.973 0.476 0.936


Entry 3:
## SrIn6Sn2 (PBE-GGA)

Data for crystalline SrIn6Sn2 at its relaxed geometry.

**Crystal system**: trigonal
**DOS at the Fermi energy**: 1.9 states/eV/cell
**Formation energy**: -0.159 eV/atom
**Relative energy among the computed polymorphs**: 0 meV/atom
**Density**: 6.632 g cm⁻³

Cell lengths 5.410, 5.410, 10.019 Å; angles 90.00, 90.00, 120.00 degrees
Fractional coordinates of all 9 atoms:
Sr 0.000 0.000 0.000
In 0.000 0.000 0.346
In 0.000 0.000 0.654
In 0.333 0.667 0.491
In 0.333 0.667 0.817
In 0.667 0.333 0.183
In 0.667 0.333 0.509
Sn 0.333 0.667 0.184
Sn 0.667 0.333 0.816


Entry 4:
## NaCrAs2Rh (PBE-GGA)

Data for crystalline NaCrAs2Rh at its relaxed geometry.

**Crystal system**: tetragonal
**DOS at the Fermi energy**: 2.1 states/eV/cell
**Formation energy**: -0.385 eV/atom
**Density**: 5.864 g cm⁻³

Cell lengths 6.193, 6.193, 6.193 Å; angles 141.14, 141.14, 56.13 degrees
Fractional coordinates of all 5 atoms:
Na 0.000 0.000 0.000
Cr 0.750 0.250 0.500
As 0.372 0.372 0.000
As 0.628 0.628 0.000
Rh 0.250 0.750 0.500


Entry 5:
## TbCe4Tm3S8 (PBE-GGA)

Data for crystalline TbCe4Tm3S8 at its relaxed geometry.

**Crystal system**: trigonal
**Raw formation energy**: -2012 meV/atom
**DOS at the Fermi energy**: 21.1 states/eV/cell
**Density**: 7.093 g cm⁻³

Cell lengths 7.945, 7.945, 7.945 Å; angles 59.08, 59.08, 59.08 degrees
Fractional coordinates of all 16 atoms:
Tb 0.000 0.000 0.000
Ce 0.000 0.000 0.500
Ce 0.000 0.500 0.000
Ce 0.500 0.000 0.000
Ce 0.500 0.500 0.500
Tm 0.000 0.500 0.500
Tm 0.500 0.000 0.500
Tm 0.500 0.500 0.000
S 0.247 0.247 0.741
S 0.247 0.741 0.247
S 0.256 0.256 0.256
S 0.259 0.753 0.753
S 0.741 0.247 0.247
S 0.744 0.744 0.744
S 0.753 0.259 0.753
S 0.753 0.753 0.259


Entry 6:
## KGe (PBE-GGA)

Data for crystalline KGe at its relaxed geometry.

**Crystal system**: orthorhombic
**DOS at the Fermi energy**: 1.6 states/eV/cell
**Formation energy**: 0.264 eV/atom
**Relative energy among the computed polymorphs**: 477 meV/atom
**Density**: 3.377 g cm⁻³

Cell lengths 3.163, 3.186, 5.452 Å; angles 90.00, 90.00, 90.00 degrees
Fractional coordinates of all 2 atoms:
K 0.000 0.000 0.000
Ge 0.500 0.500 0.500


Entry 7:
## DyAs2Pd2 (PBE-GGA)

Data for crystalline DyAs2Pd2 at its relaxed geometry.

**Crystal system**: monoclinic
**DOS at the Fermi energy**: 5.9 states/eV/cell
**Formation energy**: -0.651 eV/atom
**Density**: 8.467 g cm⁻³

Cell lengths 6.752, 6.752, 5.869 Å; angles 115.36, 115.36, 95.08 degrees
Fractional coordinates of all 10 atoms:
Dy 0.135 0.865 0.750
Dy 0.865 0.135 0.250
As 0.154 0.846 0.250
As 0.429 0.571 0.750
As 0.571 0.429 0.250
As 0.846 0.154 0.750
Pd 0.191 0.468 0.220
Pd 0.468 0.191 0.720
Pd 0.532 0.809 0.280
Pd 0.809 0.532 0.780


Entry 8:
## SmReO4F2 (PBE-GGA)

Data for crystalline SmReO4F2 at its relaxed geometry.

**Crystal system**: triclinic
**Raw formation energy**: -2518 meV/atom
**DOS at the Fermi energy**: 0.0 states/eV/cell
**Density**: 6.250 g cm⁻³

Cell lengths 4.610, 5.074, 5.466 Å; angles 89.87, 66.50, 84.09 degrees
Fractional coordinates of all 8 atoms:
Sm 0.000 0.000 0.000
Re 0.810 0.515 0.582
O 0.074 0.694 0.332
O 0.444 0.706 0.663
O 0.755 0.243 0.404
O 0.847 0.584 0.893
F 0.139 0.193 0.607
F 0.492 0.112 0.987


Entry 9:
## Pm12Tl5Ga2 (PBE-GGA)

Data for crystalline Pm12Tl5Ga2 at its relaxed geometry.

**Crystal system**: monoclinic
**DOS at the Fermi energy**: 23.9 states/eV/cell
**Formation energy**: -0.215 eV/atom
**Density**: 8.144 g cm⁻³

Cell lengths 9.572, 9.572, 9.300 Å; angles 93.80, 93.80, 44.11 degrees
Fractional coordinates of all 19 atoms:
Pm 0.007 0.007 0.301
Pm 0.089 0.592 0.052
Pm 0.099 0.595 0.480
Pm 0.405 0.901 0.520
Pm 0.408 0.911 0.948
Pm 0.469 0.469 0.815
Pm 0.531 0.531 0.185
Pm 0.592 0.089 0.052
Pm 0.595 0.099 0.480
Pm 0.901 0.405 0.520
Pm 0.911 0.408 0.948
Pm 0.993 0.993 0.699
Tl 0.209 0.209 0.249
Tl 0.277 0.277 0.752
Tl 0.500 0.500 0.500
Tl 0.723 0.723 0.248
Tl 0.791 0.791 0.751
Ga 0.170 0.830 0.000
Ga 0.830 0.170 0.000


Entry 10:
## RuPbAu (PBE-GGA)

Data for crystalline RuPbAu at its relaxed geometry.

**Crystal system**: cubic
**DOS at the Fermi energy**: 1.4 states/eV/cell
**Formation energy**: 0.434 eV/atom
**Relative energy among the computed polymorphs**: 0 meV/atom
**Density**: 12.926 g cm⁻³

Cell lengths 4.511, 4.511, 4.511 Å; angles 60.00, 60.00, 60.00 degrees
Fractional coordinates of all 3 atoms:
Ru 0.000 0.000 0.000
Pb 0.250 0.250 0.250
Au 0.750 0.750 0.750


Entry 11:
## Rb2GeSb (PBE-GGA)

Data for crystalline Rb2GeSb at its relaxed geometry.

**Crystal system**: cubic
**Raw formation energy**: 225 meV/atom
**DOS at the Fermi energy**: 1.7 states/eV/cell
**Relative energy among the computed polymorphs**: 309 meV/atom
**Density**: 3.927 g cm⁻³

Cell lengths 6.023, 6.023, 6.023 Å; angles 60.00, 60.00, 60.00 degrees
Fractional coordinates of all 4 atoms:
Rb 0.250 0.250 0.250
Rb 0.750 0.750 0.750
Ge 0.000 0.000 0.000
Sb 0.500 0.500 0.500


Entry 12:
## CdAsS3 (PBE-GGA)

Data for crystalline CdAsS3 at its relaxed geometry.

**Crystal system**: monoclinic
**Raw formation energy**: -150 meV/atom
**DOS at the Fermi energy**: 2.5 states/eV/cell
**Density**: 3.384 g cm⁻³

Cell lengths 6.153, 4.208, 10.896 Å; angles 90.00, 99.53, 90.00 degrees
Fractional coordinates of all 10 atoms:
Cd 0.048 0.250 0.328
Cd 0.952 0.750 0.672
As 0.411 0.250 0.783
As 0.589 0.750 0.217
S 0.183 0.250 0.597
S 0.239 0.750 0.240
S 0.335 0.750 0.864
S 0.665 0.250 0.136
S 0.761 0.250 0.760
S 0.817 0.750 0.403


Entry 13:
## Zr2CuBOs (PBE-GGA)

Data for crystalline Zr2CuBOs at its relaxed geometry.

**Crystal system**: tetragonal
**DOS at the Fermi energy**: 6.0 states/eV/cell
**Formation energy**: 0.028 eV/atom
**Density**: 9.165 g cm⁻³

Cell lengths 4.642, 4.642, 3.759 Å; angles 90.00, 90.00, 90.00 degrees
Fractional coordinates of all 5 atoms:
Zr 0.000 0.500 0.000
Zr 0.500 0.000 0.000
Cu 0.000 0.000 0.500
B 0.000 0.000 0.000
Os 0.500 0.500 0.500